No. 1
Here is a relaxed AgSb3O crystal from Alexandria. Energies are from PBE.

Values from the calculation:
**Energy above the lowest structure with this stoichiometry**: 0.00 eV/f.u.
**SG**: Pm-3m, No. 221

a b c (Å): 4.805 4.805 4.805
angles (deg): 90.00 90.00 90.00
Fractional positions:
Sb1 0.000 0.500 0.000
Sb2 0.000 0.000 0.500
Sb3 0.500 0.000 0.000
O1 0.000 0.000 0.000
Ag1 0.500 0.500 0.500



No. 2
Here is a relaxed AgSbO3 crystal from Alexandria. Energies are from PBE.

Values from the calculation:
**SG**: Fd-3m, No. 227

a b c (Å): 7.373 7.373 7.373
angles (deg): 60.00 60.00 60.00
Fractional positions:
Ag1 0.625 0.125 0.125
Ag2 0.125 0.625 0.125
Ag3 0.125 0.125 0.625
Ag4 0.125 0.125 0.125
Sb1 0.125 0.625 0.625
Sb2 0.625 0.125 0.625
Sb3 0.625 0.625 0.125
Sb4 0.625 0.625 0.625
O1 0.700 0.700 0.300
O2 0.300 0.300 0.700
O3 0.700 0.300 0.700
O4 0.300 0.700 0.300
O5 0.300 0.700 0.700
O6 0.700 0.300 0.300
O7 0.550 0.550 0.950
O8 0.950 0.950 0.550
O9 0.550 0.950 0.550
O10 0.950 0.550 0.950
O11 0.950 0.550 0.550
O12 0.550 0.950 0.950



Listing energy relative to the elements, uncorrected for the structures above in their given order: 0.10; -1.00 eV per atom.